{"formula": "LiYCo2", "functional": "SCAN", "state": "single point on PBEsol structure", "cell": [[4.338, 0.000, 0.000], [2.169, 3.757, 0.000], [2.169, 1.252, 3.542]], "species": ["Co", "Co", "Li", "Y"], "fractional_positions": [[0.000, 0.000, 0.000], [0.750, 0.750, 0.750], [0.500, 0.500, 0.500], [0.250, 0.250, 0.250]], "sg": "No. 216", "total_magnetization_mub_per_atom": 0.634, "polymorph_energy_ev_per_fu": 0.00, "ef_ev_per_atom": 0.214, "dos_ef_per_ev_atom": 0.726}